# 1
Pr5Y6Ho: relaxed, PBE.

Output
Total magnetization = 0.0 μB per cell
Total DFT energy (no corrections) = -5.59 eV per atom
DFT formation energy = 10 meV/atom

Cell: 11.9311 6.2958 6.2944 Å, 59.99 84.97 79.91°
Closest atoms and distances in Å follow each position.
Atoms (fractional coordinates):
Y1 0.7513 0.4151 0.6673  1 Ho 3.59, 5 Pr 3.60-3.62, 6 Y 3.63-3.64
Pr1 0.0000 0.3336 0.3329  6 Y 3.60, 3 Pr 3.63-3.64, 3 Ho 3.63-3.64
Y2 0.2487 0.9176 0.6673  1 Ho 3.59, 5 Pr 3.60-3.62, 6 Y 3.63-3.64
Pr2 0.5000 0.1669 0.6663  6 Y 3.62, 6 Pr 3.63-3.64
Pr3 0.0000 0.6664 0.6671  6 Y 3.60, 3 Pr 3.63-3.64, 3 Ho 3.63-3.64
Y3 0.7513 0.0824 0.3327  1 Ho 3.59, 5 Pr 3.60-3.62, 6 Y 3.63-3.64
Y4 0.2490 0.2501 0.0000  1 Ho 3.60, 5 Pr 3.60-3.62, 6 Y 3.63-3.64
Y5 0.2487 0.5849 0.3327  1 Ho 3.59, 5 Pr 3.60-3.62, 6 Y 3.63-3.64
Ho1 0.0000 0.0000 0.0000  6 Y 3.59-3.60, 6 Pr 3.63-3.64
Pr4 0.5000 0.5000 0.0000  6 Y 3.62, 6 Pr 3.63-3.64
Pr5 0.5000 0.8331 0.3337  6 Y 3.62, 6 Pr 3.63-3.64
Y6 0.7510 0.7499 0.0000  1 Ho 3.60, 5 Pr 3.60-3.62, 6 Y 3.63-3.64

---

# 2
Pr2Y4Ho7: relaxed, PBE.

Output
Total magnetization = 0.0 μB per cell
Total DFT energy (no corrections) = -5.01 eV per atom
DFT formation energy = 181 meV/atom

Cell: 6.0859 6.0859 13.3581 Å, 90.00 90.00 120.00°
Closest atoms and distances in Å follow each position.
Atoms (fractional coordinates):
Ho1 0.0000 0.3536 0.2164  1 Y 3.21, 4 Ho 3.41, 2 Pr 3.50
Pr1 0.3333 0.6667 0.0000  9 Ho 3.50-3.51, 3 Pr 3.51
Y1 0.6667 0.3333 0.5000  9 Y 3.51-3.78
Ho2 0.6464 0.0000 0.7836  1 Y 3.21, 4 Ho 3.41, 2 Pr 3.50
Ho3 0.0000 0.6464 0.7836  1 Y 3.21, 4 Ho 3.41, 2 Pr 3.50
Ho4 0.6464 0.6464 0.2164  1 Y 3.21, 4 Ho 3.41, 2 Pr 3.50
Ho5 0.3536 0.0000 0.2164  1 Y 3.21, 4 Ho 3.41, 2 Pr 3.50
Y2 0.0000 0.0000 0.3948  1 Y 2.81
Ho6 0.3536 0.3536 0.7836  1 Y 3.21, 4 Ho 3.41, 2 Pr 3.50
Y3 0.0000 0.0000 0.6052  1 Y 2.81
Pr2 0.6667 0.3333 0.0000  9 Ho 3.50-3.51, 3 Pr 3.51
Ho7 0.0000 0.0000 0.0000  6 Pr 3.51, 6 Ho 3.60
Y4 0.3333 0.6667 0.5000  9 Y 3.51-3.78

---

# 3
PrY7Ho3: relaxed, PBE.

Output
Total magnetization = 0.0 μB per cell
Total DFT energy (no corrections) = -5.59 eV per atom
DFT formation energy = 203 meV/atom

Cell: 8.6260 7.1014 7.1014 Å, 120.00 90.00 90.00°
Closest atoms and distances in Å follow each position.
Atoms (fractional coordinates):
Ho1 0.7844 0.5005 0.4995  5 Y 3.51-3.53, 4 Ho 3.54-3.56, 1 Pr 3.56
Ho2 0.7844 0.9990 0.4995  5 Y 3.51-3.53, 4 Ho 3.54-3.56, 1 Pr 3.56
Y1 0.1151 0.6645 0.8323  2 Ho 3.51, 1 Pr 3.52, 8 Y 3.53-3.57
Ho3 0.7844 0.5005 0.0010  5 Y 3.51-3.53, 4 Ho 3.54-3.56, 1 Pr 3.56
Y2 0.4504 0.3356 0.1678  7 Y 3.52-3.57, 2 Ho 3.53, 2 Pr 3.55
Y3 0.1151 0.1677 0.3355  2 Ho 3.51, 1 Pr 3.52, 8 Y 3.53-3.57
Y4 0.1173 0.6667 0.3333  9 Y 3.52-3.55, 3 Ho 3.52
Pr1 0.4482 0.3333 0.6667  9 Y 3.52-3.55, 3 Ho 3.56
Y5 0.1151 0.1677 0.8323  2 Ho 3.51, 1 Pr 3.52, 8 Y 3.53-3.57
Y6 0.4504 0.8322 0.6644  7 Y 3.52-3.57, 2 Ho 3.53, 2 Pr 3.55
Y7 0.4504 0.8322 0.1678  7 Y 3.52-3.57, 2 Ho 3.53, 2 Pr 3.55